[1]
An optimized crystal structure of TiTcBTeRh. Source: the Alexandria database, functional PBE.

Unit cell a=3.7167 b=3.7167 c=21.7900 alpha=90.00 beta=90.00 gamma=120.00
Space group R3m (No. 160, hexagonal axes)
Inequivalent atoms, fractional coordinates:
Ti 0.0000 0.0000 0.0000 (multiplicity 3)
Tc 0.0000 0.0000 0.2629 (multiplicity 3)
B 0.0000 0.0000 0.6108 (multiplicity 3)
Te 0.0000 0.0000 0.1381 (multiplicity 3)
Rh 0.0000 0.0000 0.3999 (multiplicity 3)

Summary:
- Relative energy among the computed polymorphs: 169.9 meV per atom
- VASP energy: -7.246 eV/atom
- Density of states at the Fermi level: 11.5 states/eV per cell

***

[2]
An optimized crystal structure of TiTcBTeRh. Source: the Alexandria database, functional PBE.

Unit cell a=8.623 b=3.128 c=6.816 alpha=90.00 beta=126.25 gamma=90.00
Space group Cm (No. 8)
Inequivalent atoms, fractional coordinates:
Ti 0.000 0.000 0.000 (multiplicity 2)
Tc 0.327 0.500 0.262 (multiplicity 2)
B 0.289 0.000 0.016 (multiplicity 2)
Te 0.218 0.000 0.500 (multiplicity 2)
Rh 0.099 0.500 0.749 (multiplicity 2)

Summary:
- Relative energy among the computed polymorphs: 11.4 meV per atom
- VASP energy: -7.405 eV/atom
- Density of states at the Fermi level: 8.6 states/eV per cell

***

[3]
An optimized crystal structure of TiTcBTeRh. Source: the Alexandria database, functional PBE.

Unit cell a=3.7769 b=3.7769 c=20.0009 alpha=90.00 beta=90.00 gamma=120.00
Space group R3m (No. 160, hexagonal axes)
Inequivalent atoms, fractional coordinates:
Ti 0.0000 0.0000 0.0000 (multiplicity 3)
Tc 0.0000 0.0000 0.8296 (multiplicity 3)
B 0.0000 0.0000 0.7258 (multiplicity 3)
Te 0.0000 0.0000 0.5675 (multiplicity 3)
Rh 0.0000 0.0000 0.4042 (multiplicity 3)

Summary:
- Relative energy among the computed polymorphs: 178.0 meV per atom
- VASP energy: -7.238 eV/atom
- Density of states at the Fermi level: 9.5 states/eV per cell

***

What is the formula in the second record? TiTcBTeRh

***

Which of these has the highest relative energy among the computed polymorphs? number 3

***

density of states at the Fermi level of number 2 (TiTcBTeRh)? 8.6 states/eV per cell